Entry 1:
# PBE K2TlCu2Br7, optimized geometry
# DOS(E_F): 3.626 states/eV/cell
# Formation energy (no corrections): -81 kJ/mol of atoms
# Uncorrected energy: -34.570 eV per cell
data_K2TlCu2Br7
_cell_length_a 5.1874
_cell_length_b 5.1874
_cell_length_c 13.7223
_cell_angle_alpha 100.84
_cell_angle_beta 100.84
_cell_angle_gamma 90.00
_symmetry_space_group_name_H-M 'P 1'
_symmetry_Int_Tables_number 1
loop_
_symmetry_equiv_pos_as_xyz
'x,y,z'
loop_
_atom_site_label
_atom_site_fract_x
_atom_site_fract_y
_atom_site_fract_z
_atom_site_occupancy
K1 0.1784 0.1784 0.3588 1
K2 0.8216 0.8216 0.6412 1
Tl1 0.0000 0.0000 0.0000 1
Cu1 0.4035 0.4035 0.8039 1
Cu2 0.5965 0.5965 0.1961 1
Br1 0.0926 0.5928 0.1872 1
Br2 0.3072 0.3072 0.6119 1
Br3 0.4072 0.9074 0.8128 1
Br4 0.5000 0.5000 0.0000 1
Br5 0.5928 0.0926 0.1872 1
Br6 0.6928 0.6928 0.3881 1
Br7 0.9074 0.4072 0.8128 1

=====

Entry 2:
# PBE KTl2Cu2Br6, optimized geometry
# DOS(E_F): 12.020 states/eV/cell
# Formation energy (no corrections): -69 kJ/mol of atoms
# Uncorrected energy: -31.939 eV per cell
data_KTl2Cu2Br6
_cell_length_a 8.4094
_cell_length_b 8.4094
_cell_length_c 6.4277
_cell_angle_alpha 90.00
_cell_angle_beta 90.00
_cell_angle_gamma 120.00
_symmetry_space_group_name_H-M 'P 1'
_symmetry_Int_Tables_number 1
loop_
_symmetry_equiv_pos_as_xyz
'x,y,z'
loop_
_atom_site_label
_atom_site_fract_x
_atom_site_fract_y
_atom_site_fract_z
_atom_site_occupancy
K1 0.0000 0.0000 0.0000 1
Tl1 0.3333 0.6667 0.2595 1
Tl2 0.6667 0.3333 0.7405 1
Cu1 0.3333 0.6667 0.7593 1
Cu2 0.6667 0.3333 0.2407 1
Br1 0.0716 0.3751 0.7433 1
Br2 0.3035 0.9284 0.7433 1
Br3 0.3751 0.3035 0.2567 1
Br4 0.6249 0.6965 0.7433 1
Br5 0.6965 0.0716 0.2567 1
Br6 0.9284 0.6249 0.2567 1

=====

Entry 3:
# PBE K2TmCuBr6, optimized geometry
# DOS(E_F): 0.000 states/eV/cell
# Formation energy (no corrections): -142 kJ/mol of atoms
# Uncorrected energy: -71.128 eV per cell
data_K2TmCuBr6
_cell_length_a 7.9607
_cell_length_b 8.6774
_cell_length_c 12.5622
_cell_angle_alpha 90.00
_cell_angle_beta 129.22
_cell_angle_gamma 90.00
_symmetry_space_group_name_H-M 'P 1'
_symmetry_Int_Tables_number 1
loop_
_symmetry_equiv_pos_as_xyz
'x,y,z'
loop_
_atom_site_label
_atom_site_fract_x
_atom_site_fract_y
_atom_site_fract_z
_atom_site_occupancy
K1 0.2236 0.0900 0.2470 1
K2 0.2236 0.4100 0.7470 1
K3 0.7764 0.5900 0.2530 1
K4 0.7764 0.9100 0.7530 1
Tm1 0.0000 0.0000 0.5000 1
Tm2 0.0000 0.5000 0.0000 1
Cu1 0.5000 0.0000 0.0000 1
Cu2 0.5000 0.5000 0.5000 1
Br1 0.1142 0.2263 0.9500 1
Br2 0.1142 0.2737 0.4500 1
Br3 0.2394 0.6623 0.9500 1
Br4 0.2394 0.8377 0.4500 1
Br5 0.3823 0.0304 0.7793 1
Br6 0.3823 0.4696 0.2793 1
Br7 0.6177 0.5304 0.7207 1
Br8 0.6177 0.9696 0.2207 1
Br9 0.7606 0.1623 0.5500 1
Br10 0.7606 0.3377 0.0500 1
Br11 0.8858 0.7263 0.5500 1
Br12 0.8858 0.7737 0.0500 1

=====

Entry 4:
# PBE KTmCuBr5, optimized geometry
# DOS(E_F): 0.000 states/eV/cell
# Formation energy (no corrections): -137 kJ/mol of atoms
# Uncorrected energy: -58.803 eV per cell
data_KTmCuBr5
_cell_length_a 7.6758
_cell_length_b 7.6758
_cell_length_c 10.3991
_cell_angle_alpha 103.62
_cell_angle_beta 103.62
_cell_angle_gamma 106.61
_symmetry_space_group_name_H-M 'P 1'
_symmetry_Int_Tables_number 1
loop_
_symmetry_equiv_pos_as_xyz
'x,y,z'
loop_
_atom_site_label
_atom_site_fract_x
_atom_site_fract_y
_atom_site_fract_z
_atom_site_occupancy
K1 0.1451 0.8549 0.7500 1
K2 0.8549 0.1451 0.2500 1
Tm1 0.5000 0.5000 0.0000 1
Tm2 0.5000 0.5000 0.5000 1
Cu1 0.1913 0.8087 0.2500 1
Cu2 0.8087 0.1913 0.7500 1
Br1 0.1212 0.2607 0.9321 1
Br2 0.1838 0.5877 0.3868 1
Br3 0.2607 0.1212 0.4321 1
Br4 0.4123 0.8162 0.1132 1
Br5 0.4177 0.5823 0.7500 1
Br6 0.5823 0.4177 0.2500 1
Br7 0.5877 0.1838 0.8868 1
Br8 0.7393 0.8788 0.5679 1
Br9 0.8162 0.4123 0.6132 1
Br10 0.8788 0.7393 0.0679 1

=====

Entry 5:
# PBE KUCu2Br8, optimized geometry
# DOS(E_F): 0.590 states/eV/cell
# Formation energy (no corrections): -92 kJ/mol of atoms
# Uncorrected energy: -45.447 eV per cell
data_KUCu2Br8
_cell_length_a 6.7710
_cell_length_b 6.7710
_cell_length_c 9.9281
_cell_angle_alpha 91.45
_cell_angle_beta 91.45
_cell_angle_gamma 70.41
_symmetry_space_group_name_H-M 'P 1'
_symmetry_Int_Tables_number 1
loop_
_symmetry_equiv_pos_as_xyz
'x,y,z'
loop_
_atom_site_label
_atom_site_fract_x
_atom_site_fract_y
_atom_site_fract_z
_atom_site_occupancy
K1 0.0000 0.0000 0.0000 1
U1 0.0000 0.0000 0.5000 1
Cu1 0.3477 0.3477 0.7304 1
Cu2 0.6523 0.6523 0.2696 1
Br1 0.2427 0.7499 0.6965 1
Br2 0.2476 0.2476 0.5106 1
Br3 0.2501 0.7573 0.3035 1
Br4 0.2958 0.2958 0.9525 1
Br5 0.7042 0.7042 0.0475 1
Br6 0.7499 0.2427 0.6965 1
Br7 0.7524 0.7524 0.4894 1
Br8 0.7573 0.2501 0.3035 1

=====

Entry 6:
# PBE KVCuBr5, optimized geometry
# DOS(E_F): 14.508 states/eV/cell
# Formation energy (no corrections): -88 kJ/mol of atoms
# Uncorrected energy: -59.916 eV per cell
data_KVCuBr5
_cell_length_a 7.4320
_cell_length_b 7.4320
_cell_length_c 9.6762
_cell_angle_alpha 102.90
_cell_angle_beta 102.90
_cell_angle_gamma 107.12
_symmetry_space_group_name_H-M 'P 1'
_symmetry_Int_Tables_number 1
loop_
_symmetry_equiv_pos_as_xyz
'x,y,z'
loop_
_atom_site_label
_atom_site_fract_x
_atom_site_fract_y
_atom_site_fract_z
_atom_site_occupancy
K1 0.1509 0.8491 0.7500 1
K2 0.8491 0.1509 0.2500 1
V1 0.5000 0.5000 0.0000 1
V2 0.5000 0.5000 0.5000 1
Cu1 0.1903 0.8097 0.2500 1
Cu2 0.8097 0.1903 0.7500 1
Br1 0.1336 0.2708 0.9374 1
Br2 0.1976 0.5898 0.4012 1
Br3 0.2708 0.1336 0.4374 1
Br4 0.4102 0.8024 0.0988 1
Br5 0.4287 0.5713 0.7500 1
Br6 0.5713 0.4287 0.2500 1
Br7 0.5898 0.1976 0.9012 1
Br8 0.7292 0.8664 0.5626 1
Br9 0.8024 0.4102 0.5988 1
Br10 0.8664 0.7292 0.0626 1

=====

Entry 7:
# PBE KVCu2Br, optimized geometry
# DOS(E_F): 5.606 states/eV/cell
# Formation energy (no corrections): 135 kJ/mol of atoms
# Uncorrected energy: -13.094 eV per cell
data_KVCu2Br
_cell_length_a 5.1991
_cell_length_b 5.1991
_cell_length_c 5.6626
_cell_angle_alpha 90.00
_cell_angle_beta 90.00
_cell_angle_gamma 90.00
_symmetry_space_group_name_H-M 'P 1'
_symmetry_Int_Tables_number 1
loop_
_symmetry_equiv_pos_as_xyz
'x,y,z'
loop_
_atom_site_label
_atom_site_fract_x
_atom_site_fract_y
_atom_site_fract_z
_atom_site_occupancy
K1 0.0000 0.0000 0.0000 1
V1 0.5000 0.5000 0.5000 1
Cu1 0.0000 0.5000 0.0000 1
Cu2 0.5000 0.0000 0.0000 1
Br1 0.0000 0.0000 0.5000 1

=====

Entry 8:
# PBE KYCuBr5, optimized geometry
# DOS(E_F): 0.000 states/eV/cell
# Formation energy (no corrections): -138 kJ/mol of atoms
# Uncorrected energy: -62.928 eV per cell
data_KYCuBr5
_cell_length_a 7.7210
_cell_length_b 7.7210
_cell_length_c 10.4932
_cell_angle_alpha 103.66
_cell_angle_beta 103.66
_cell_angle_gamma 106.61
_symmetry_space_group_name_H-M 'P 1'
_symmetry_Int_Tables_number 1
loop_
_symmetry_equiv_pos_as_xyz
'x,y,z'
loop_
_atom_site_label
_atom_site_fract_x
_atom_site_fract_y
_atom_site_fract_z
_atom_site_occupancy
K1 0.1437 0.8563 0.7500 1
K2 0.8563 0.1437 0.2500 1
Y1 0.5000 0.5000 0.0000 1
Y2 0.5000 0.5000 0.5000 1
Cu1 0.1900 0.8100 0.2500 1
Cu2 0.8100 0.1900 0.7500 1
Br1 0.1181 0.2579 0.9322 1
Br2 0.1812 0.5865 0.3829 1
Br3 0.2579 0.1181 0.4322 1
Br4 0.4140 0.5860 0.7500 1
Br5 0.4135 0.8188 0.1171 1
Br6 0.5865 0.1812 0.8829 1
Br7 0.5860 0.4140 0.2500 1
Br8 0.7421 0.8819 0.5678 1
Br9 0.8188 0.4135 0.6171 1
Br10 0.8819 0.7421 0.0678 1

=====

Entry 9:
# PBE KYCuBr6, optimized geometry
# DOS(E_F): 0.107 states/eV/cell
# Formation energy (no corrections): -125 kJ/mol of atoms
# Uncorrected energy: -33.371 eV per cell
data_KYCuBr6
_cell_length_a 6.9100
_cell_length_b 6.9100
_cell_length_c 7.4054
_cell_angle_alpha 93.43
_cell_angle_beta 93.43
_cell_angle_gamma 113.66
_symmetry_space_group_name_H-M 'P 1'
_symmetry_Int_Tables_number 1
loop_
_symmetry_equiv_pos_as_xyz
'x,y,z'
loop_
_atom_site_label
_atom_site_fract_x
_atom_site_fract_y
_atom_site_fract_z
_atom_site_occupancy
K1 0.0000 0.0000 0.0000 1
Y1 0.3380 0.6620 0.5000 1
Cu1 0.6874 0.3126 0.5000 1
Br1 0.0156 0.3443 0.6759 1
Br2 0.0254 0.6132 0.2376 1
Br3 0.3868 0.9746 0.7624 1
Br4 0.4232 0.3514 0.2836 1
Br5 0.6486 0.5768 0.7164 1
Br6 0.6557 0.9844 0.3241 1

=====

Entry 10:
# PBE KYCuBr2, optimized geometry
# DOS(E_F): 2.799 states/eV/cell
# Formation energy (no corrections): -16 kJ/mol of atoms
# Uncorrected energy: -15.843 eV per cell
data_KYCuBr2
_cell_length_a 5.7668
_cell_length_b 5.7668
_cell_length_c 5.1091
_cell_angle_alpha 90.00
_cell_angle_beta 90.00
_cell_angle_gamma 90.00
_symmetry_space_group_name_H-M 'P 1'
_symmetry_Int_Tables_number 1
loop_
_symmetry_equiv_pos_as_xyz
'x,y,z'
loop_
_atom_site_label
_atom_site_fract_x
_atom_site_fract_y
_atom_site_fract_z
_atom_site_occupancy
K1 0.0000 0.0000 0.0000 1
Y1 0.5000 0.5000 0.0000 1
Cu1 0.5000 0.5000 0.5000 1
Br1 0.0000 0.5000 0.5000 1
Br2 0.5000 0.0000 0.5000 1

=====

Entry 11:
# PBE KZn2CuBr6, optimized geometry
# Formation energy (no corrections): -87 kJ/mol of atoms
# Uncorrected energy: -53.585 eV per cell
data_KZn2CuBr6
_cell_length_a 9.8841
_cell_length_b 9.8841
_cell_length_c 7.5512
_cell_angle_alpha 105.23
_cell_angle_beta 105.23
_cell_angle_gamma 89.18
_symmetry_space_group_name_H-M 'P 1'
_symmetry_Int_Tables_number 1
loop_
_symmetry_equiv_pos_as_xyz
'x,y,z'
loop_
_atom_site_label
_atom_site_fract_x
_atom_site_fract_y
_atom_site_fract_z
_atom_site_occupancy
K1 0.1193 0.8807 0.7500 1
K2 0.8807 0.1193 0.2500 1
Zn1 0.2315 0.3786 0.8139 1
Zn2 0.3786 0.2315 0.3139 1
Zn3 0.6214 0.7685 0.6861 1
Zn4 0.7685 0.6214 0.1861 1
Cu1 0.2338 0.7662 0.2500 1
Cu2 0.7662 0.2338 0.7500 1
Br1 0.0344 0.2063 0.6989 1
Br2 0.1532 0.6134 0.9412 1
Br3 0.2063 0.0344 0.1989 1
Br4 0.3040 0.4238 0.5391 1
Br5 0.3866 0.8468 0.5588 1
Br6 0.4238 0.3040 0.0391 1
Br7 0.5762 0.6960 0.9609 1
Br8 0.6134 0.1532 0.4412 1
Br9 0.6960 0.5762 0.4609 1
Br10 0.7937 0.9656 0.8011 1
Br11 0.8468 0.3866 0.0588 1
Br12 0.9656 0.7937 0.3011 1